Entry 1:
{"formula": "BaLaPa2O8", "functional": "PBE", "state": "relaxed", "cell": [[-2.851, 2.851, 5.494], [2.851, -2.851, 5.494], [2.851, 2.851, -5.494]], "species": ["Ba", "La", "Pa", "Pa", "O", "O", "O", "O", "O", "O", "O", "O"], "frac_coords": [[0.000, 0.000, 0.000], [0.250, 0.750, 0.500], [0.500, 0.500, 0.000], [0.750, 0.250, 0.500], [0.128, 0.155, 0.542], [0.132, 0.587, 0.976], [0.413, 0.389, 0.544], [0.414, 0.872, 0.026], [0.611, 0.156, 0.024], [0.612, 0.586, 0.458], [0.844, 0.868, 0.456], [0.845, 0.388, 0.974]], "e_tot_ev_per_atom": -8.718, "e_form_raw_ev_per_fu": -39.11, "sg": "I-4"}

---

Entry 2:
{"formula": "Zn2PCl", "functional": "PBE", "state": "relaxed", "cell": [[3.425, 0.000, 0.000], [0.000, 3.268, 0.000], [-0.001, 0.000, 6.582]], "species": ["Zn", "Zn", "P", "Cl"], "frac_coords": [[0.001, 0.000, 0.193], [0.999, 0.000, 0.807], [0.500, 0.500, 0.000], [0.000, 0.500, 0.500]], "polymorph_energy_mev_per_atom": 425, "e_tot_ev_per_atom": -2.555, "e_form_raw_ev_per_fu": -0.41, "sg": "P2/m"}

---

Entry 3:
{"formula": "Pr3DyCl", "functional": "PBE", "state": "relaxed", "cell": [[5.510, 0.000, 0.000], [0.000, 5.510, 0.000], [0.000, 0.000, 5.510]], "species": ["Pr", "Pr", "Pr", "Dy", "Cl"], "frac_coords": [[0.000, 0.000, 0.500], [0.000, 0.500, 0.000], [0.500, 0.000, 0.000], [0.500, 0.500, 0.500], [0.000, 0.000, 0.000]], "e_tot_ev_per_atom": -4.650, "e_form_raw_ev_per_fu": -2.46, "sg": "Pm-3m"}